Crystalline PaFeSnS4 at its relaxed geometry, computed with PBE.

Unit cell a=6.494 b=5.962 c=8.128 alpha=90.00 beta=108.47 gamma=90.00
Fractional positions:
Pa 0.249 0.250 0.048
Pa 0.751 0.750 0.952
Fe 0.240 0.750 0.829
Fe 0.760 0.250 0.171
Sn 0.282 0.250 0.535
Sn 0.718 0.750 0.465
S 0.022 0.505 0.220
S 0.022 0.995 0.220
S 0.420 0.750 0.632
S 0.444 0.750 0.108
S 0.556 0.250 0.892
S 0.580 0.250 0.368
S 0.978 0.005 0.780
S 0.978 0.495 0.780

Computed properties:
Formation energy from raw total energies (kJ per mole of atoms): -81.55
Magnetization (μB/atom): 0.392
Raw total energy (eV per atom): -6.34
Calculated volume (Å³/atom): 21.3
Symmetry: P2_1/m, No. 11
Density of states at the Fermi level (states/eV/f.u.): 3.6

---

Crystalline SrPaFeS4 at its relaxed geometry, computed with PBE.

Unit cell a=6.437 b=6.077 c=8.163 alpha=90.00 beta=107.37 gamma=90.00
Fractional positions:
Sr 0.245 0.250 0.442
Sr 0.755 0.750 0.558
Pa 0.250 0.250 0.945
Pa 0.750 0.750 0.055
Fe 0.258 0.750 0.174
Fe 0.742 0.250 0.826
S 0.062 0.750 0.899
S 0.070 0.750 0.363
S 0.484 0.509 0.779
S 0.484 0.991 0.779
S 0.516 0.009 0.221
S 0.516 0.491 0.221
S 0.930 0.250 0.637
S 0.938 0.250 0.101

Computed properties:
Formation energy from raw total energies (kJ per mole of atoms): -133.80
Magnetization (μB/atom): 0.401
Raw total energy (eV per atom): -6.55
Calculated volume (Å³/atom): 21.8
Symmetry: P2_1/m, No. 11
Density of states at the Fermi level (states/eV/f.u.): 3.0

---

Crystalline Pa3Tl3FeS8 at its relaxed geometry, computed with PBE.

Unit cell a=7.839 b=7.839 c=8.963 alpha=115.98 beta=115.98 gamma=59.97
Fractional positions:
Pa 0.000 0.000 0.000
Pa 0.000 0.500 0.000
Pa 0.500 0.000 0.000
Tl 0.000 0.500 0.500
Tl 0.500 0.000 0.500
Tl 0.500 0.500 0.500
Fe 0.500 0.500 0.000
S 0.233 0.233 0.199
S 0.238 0.725 0.188
S 0.275 0.275 0.812
S 0.275 0.762 0.812
S 0.725 0.238 0.188
S 0.725 0.725 0.188
S 0.762 0.275 0.812
S 0.767 0.767 0.801

Computed properties:
Formation energy from raw total energies (kJ per mole of atoms): -97.41
Magnetization (μB/atom): 0.426
Raw total energy (eV per atom): -6.15
Calculated volume (Å³/atom): 27.4
Symmetry: C2/m, No. 12
Density of states at the Fermi level (states/eV/f.u.): 19.9